No. 1
The following is a DFT calculation (PBE) of Lu3Ag after structural relaxation.

Summary:
Its size of the total moment is 0.00 μB per formula unit. As for the energy above the most stable polymorph in this dataset: 0 meV per atom. As for the symmetry: Imm2 (44). The final energy comes out at -16.915 eV/f.u.

```
Lu3Ag
1.0
-1.818 5.499 2.616
1.818 -5.499 2.616
1.818 5.499 -2.616
Lu Ag
3 1
direct
0.000 0.000 0.000
0.285 0.501 0.784
0.716 0.501 0.216
0.499 0.999 0.500
```


No. 2
The following is a DFT calculation (PBE) of Sm4GaHgTe2 after structural relaxation.

Summary:
Its size of the total moment is 0.00 μB per formula unit. As for the symmetry: P2/m (10). The raw formation energy comes out at -0.93 eV/atom. The final energy comes out at -35.963 eV/f.u.

```
Sm4GaHgTe2
1.0
7.358 0.000 0.000
0.000 4.232 0.000
-2.420 0.000 7.715
Sm Ga Hg Te
4 1 1 2
direct
0.240 0.000 0.241
0.244 0.500 0.753
0.756 0.500 0.247
0.760 0.000 0.759
0.000 0.500 0.000
0.500 0.000 0.000
0.000 0.000 0.500
0.500 0.500 0.500
```


No. 3
The following is a DFT calculation (PBE) of KRbCd17 after structural relaxation.

Summary:
Its size of the total moment is 0.00 μB per formula unit. As for the symmetry: R3m (160). The final energy comes out at -18.625 eV/f.u.

```
KRbCd17
1.0
5.225 3.017 5.115
-5.225 3.017 5.115
0.000 -6.033 5.115
K Rb Cd
1 1 17
direct
0.000 0.000 0.000
0.319 0.319 0.319
0.010 0.010 0.510
0.010 0.510 0.010
0.162 0.659 0.659
0.308 0.308 0.817
0.308 0.817 0.308
0.364 0.662 0.956
0.364 0.956 0.662
0.510 0.010 0.010
0.563 0.563 0.563
0.659 0.162 0.659
0.659 0.659 0.162
0.662 0.364 0.956
0.662 0.956 0.364
0.761 0.761 0.761
0.817 0.308 0.308
0.956 0.364 0.662
0.956 0.662 0.364
```


No. 4
The following is a DFT calculation (PBE) of Ba2InFe after structural relaxation.

Summary:
Its size of the total moment is 2.02 μB per formula unit. As for the symmetry: P4mm (99). The final energy comes out at -14.061 eV/f.u.

```
Ba2InFe
1.0
3.799 0.000 0.000
0.000 3.799 0.000
0.000 0.000 9.688
Ba In Fe
2 1 1
direct
0.000 0.000 0.000
0.500 0.500 0.405
0.500 0.500 0.749
0.000 0.000 0.657
```


No. 5
The following is a DFT calculation (PBE) of AcLa3Nd7 after structural relaxation.

Summary:
Its size of the total moment is 0.35 μB per formula unit. As for the energy above the most stable polymorph in this dataset: 47 meV per atom. As for the symmetry: Immm (71). The final energy comes out at -49.708 eV/f.u.

```
AcLa3Nd7
1.0
-3.103 5.727 5.833
3.103 -5.727 5.833
3.103 5.727 -5.833
Ac La Nd
1 3 7
direct
0.000 0.000 0.000
0.286 0.500 0.786
0.500 0.000 0.500
0.714 0.500 0.214
0.000 0.500 0.500
0.097 0.794 0.303
0.302 0.302 0.000
0.491 0.794 0.697
0.509 0.206 0.303
0.698 0.698 0.000
0.903 0.206 0.697
```


No. 6
The following is a DFT calculation (PBE) of Te2OsRh2 after structural relaxation.

Summary:
Its size of the total moment is 0.00 μB per formula unit. As for the energy above the most stable polymorph in this dataset: 0 meV per atom. As for the symmetry: P4/mbm (127). The raw formation energy comes out at 0.48 eV/atom. The final energy comes out at -29.833 eV/f.u.

```
Te2OsRh2
1.0
7.193 0.000 0.000
0.000 7.193 0.000
0.000 0.000 3.500
Te Os Rh
4 2 4
direct
0.177 0.323 0.000
0.323 0.823 0.000
0.677 0.177 0.000
0.823 0.677 0.000
0.000 0.000 0.500
0.500 0.500 0.500
0.132 0.632 0.500
0.368 0.132 0.500
0.632 0.868 0.500
0.868 0.368 0.500
```


No. 7
The following is a DFT calculation (PBE) of LiYZr after structural relaxation.

Summary:
Its size of the total moment is 0.00 μB per formula unit. As for the energy above the most stable polymorph in this dataset: 77 meV per atom. As for the symmetry: Cmmm (65). The final energy comes out at -16.493 eV/f.u.

```
LiYZr
1.0
2.341 -6.631 0.000
2.341 6.631 0.000
0.000 0.000 4.813
Li Y Zr
2 2 2
direct
0.000 0.000 0.000
0.500 0.500 0.500
0.161 0.839 0.500
0.839 0.161 0.500
0.326 0.674 0.000
0.674 0.326 0.000
```


No. 8
The following is a DFT calculation (PBE) of Ti12VGa6 after structural relaxation.

Summary:
Its size of the total moment is 0.04 μB per formula unit. As for the symmetry: R-3 (148). The final energy comes out at -126.425 eV/f.u.

```
Ti12VGa6
1.0
4.787 2.764 3.906
-4.787 2.764 3.906
0.000 -5.528 3.906
Ti V Ga
12 1 6
direct
0.021 0.943 0.304
0.057 0.696 0.979
0.127 0.447 0.355
0.304 0.021 0.943
0.355 0.127 0.447
0.447 0.355 0.127
0.553 0.645 0.873
0.645 0.873 0.553
0.696 0.979 0.057
0.873 0.553 0.645
0.943 0.304 0.021
0.979 0.057 0.696
0.500 0.500 0.500
0.228 0.378 0.757
0.243 0.772 0.622
0.378 0.757 0.228
0.622 0.243 0.772
0.757 0.228 0.378
0.772 0.622 0.243
```